Entry 1:
LiRe2Sb: relaxed, PBE.

The space group is R3m (No. 160, hexagonal axes) and the conventional cell measures 2.9521, 2.9521 and 27.3959 Å, with angles of 90.00, 90.00 and 120.00 degrees. The distinct sites, in fractional coordinates, are Li at (0.0000, 0.0000, 0.0000), Re at (0.0000, 0.0000, 0.4903), Re at (0.0000, 0.0000, 0.7501) and Sb at (0.0000, 0.0000, 0.2423).

The uncorrected formation energy is 367 meV per atom.

***

Entry 2:
Li2Cu3Pd: relaxed, PBE.

The space group is C2/c (No. 15) and the conventional cell measures 5.291, 7.476 and 8.164 Å, with angles of 90.00, 108.02 and 90.00 degrees. The distinct sites, in fractional coordinates, are Li at (0.170, 0.126, 0.089), Cu at (0.000, 0.376, 0.250), Cu at (0.164, 0.376, 0.576) and Pd at (0.000, 0.125, 0.750).

Its formation enthalpy at 0 K is -0.170 eV per atom. For the energy relative to the lowest polymorph listed for this composition, the calculation gives 0.0000 eV per atom.

***

Entry 3:
ScCuAg2: relaxed, PBE.

The space group is C2/m (No. 12) and the conventional cell measures 5.612, 9.683 and 3.024 Å, with angles of 90.00, 118.93 and 90.00 degrees. The distinct sites, in fractional coordinates, are Sc at (0.000, 0.000, 0.000), Cu at (0.000, 0.500, 0.000) and Ag at (0.250, 0.250, 0.500).

Its formation enthalpy at 0 K is 0.060 eV per atom. For the energy relative to the lowest polymorph listed for this composition, the calculation gives 0.2071 eV per atom.

***

Entry 4:
SrLi2CuNi: relaxed, PBE.

The space group is P4/mmm (No. 123) and the conventional cell measures 4.619, 4.619 and 4.773 Å, with angles of 90.00, 90.00 and 90.00 degrees. The distinct sites, in fractional coordinates, are Sr at (0.000, 0.000, 0.000), Li at (0.000, 0.500, 0.500), Cu at (0.500, 0.500, 0.000) and Ni at (0.500, 0.500, 0.500).

Its formation enthalpy at 0 K is 0.113 eV per atom. For the energy relative to the lowest polymorph listed for this composition, the calculation gives 0.0000 eV per atom.

***

Entry 5:
Tb2HfNbN4: relaxed, PBE.

The space group is P2/m (No. 10) and the conventional cell measures 5.720, 3.287 and 5.793 Å, with angles of 90.00, 109.18 and 90.00 degrees. The distinct sites, in fractional coordinates, are Tb at (0.000, 0.000, 0.000), Tb at (0.500, 0.500, 0.000), Hf at (0.000, 0.500, 0.500), Nb at (0.500, 0.000, 0.500), N at (0.238, 0.000, 0.725) and N at (0.256, 0.500, 0.275).

The uncorrected formation energy is -1548 meV per atom.

***

Entry 6:
AcMg3Cu3: relaxed, PBE.

The space group is P6_3/m (No. 176) and the conventional cell measures 8.9442, 8.9442 and 4.3274 Å, with angles of 90.00, 90.00 and 120.00 degrees. The distinct sites, in fractional coordinates, are Ac at (0.3333, 0.6667, 0.2500), Mg at (0.0494, 0.2776, 0.7500) and Cu at (0.0462, 0.5947, 0.7500).

Its formation enthalpy at 0 K is -0.102 eV per atom.

***

Entry 7:
Nd2SmPdO5: relaxed, PBE.

The space group is P4/mbm (No. 127) and the conventional cell measures 6.622, 6.622 and 5.953 Å, with angles of 90.00, 90.00 and 90.00 degrees. The distinct sites, in fractional coordinates, are Nd at (0.164, 0.336, 0.000), Sm at (0.000, 0.000, 0.500), Pd at (0.000, 0.500, 0.500), O at (0.000, 0.000, 0.000) and O at (0.167, 0.667, 0.262).

The uncorrected formation energy is -2442 meV per atom.

***

Entry 8:
Sm6Co2RuCl3: relaxed, PBE.

The space group is C2/m (No. 12) and the conventional cell measures 18.867, 3.912 and 8.817 Å, with angles of 90.00, 112.33 and 90.00 degrees. The distinct sites, in fractional coordinates, are Sm at (0.010, 0.000, 0.230), Sm at (0.158, 0.500, 0.111), Sm at (0.179, 0.500, 0.555), Co at (0.167, 0.000, 0.333), Ru at (0.000, 0.500, 0.000), Cl at (0.000, 0.500, 0.500) and Cl at (0.166, 0.000, 0.832).

The uncorrected formation energy is -854 meV per atom.

***

Entry 9:
Sc8InCu2: relaxed, PBE.

The space group is C2/m (No. 12) and the conventional cell measures 8.264, 12.704 and 4.891 Å, with angles of 90.00, 105.79 and 90.00 degrees. The distinct sites, in fractional coordinates, are Sc at (0.000, 0.243, 0.000), Sc at (0.108, 0.500, 0.805), Sc at (0.201, 0.124, 0.588), In at (0.000, 0.000, 0.000) and Cu at (0.000, 0.312, 0.500).

Its formation enthalpy at 0 K is -0.098 eV per atom. For the energy relative to the lowest polymorph listed for this composition, the calculation gives 0.0878 eV per atom.

***

Entry 10:
Pm12CdSi7: relaxed, PBE.

The space group is R-3 (No. 148, hexagonal axes) and the conventional cell measures 14.7422, 14.7422 and 8.9992 Å, with angles of 90.00, 90.00 and 120.00 degrees. The distinct sites, in fractional coordinates, are Pm at (0.0312, 0.4452, 0.3088), Pm at (0.0451, 0.1745, 0.2685), Cd at (0.0000, 0.0000, 0.0000), Si at (0.0000, 0.0000, 0.5000) and Si at (0.0500, 0.1949, 0.9243).

The uncorrected formation energy is -348 meV per atom.

***

Entry 11:
Pm2PuIn: relaxed, PBE.

The space group is P4/mmm (No. 123) and the conventional cell measures 3.647, 3.647 and 8.927 Å, with angles of 90.00, 90.00 and 90.00 degrees. The distinct sites, in fractional coordinates, are Pm at (0.000, 0.000, 0.235), Pu at (0.500, 0.500, 0.500) and In at (0.500, 0.500, 0.000).

Its formation enthalpy at 0 K is -0.125 eV per atom. For the energy relative to the lowest polymorph listed for this composition, the calculation gives 0.0265 eV per atom.

***

Entry 12:
La7SmGa4: relaxed, PBE.

The space group is C2/m (No. 12) and the conventional cell measures 13.926, 5.787 and 10.913 Å, with angles of 90.00, 124.26 and 90.00 degrees. The distinct sites, in fractional coordinates, are La at (0.000, 0.000, 0.000), La at (0.067, 0.500, 0.381), La at (0.200, 0.000, 0.636), La at (0.203, 0.500, 0.882), Sm at (0.000, 0.500, 0.000), Ga at (0.052, 0.000, 0.759) and Ga at (0.179, 0.000, 0.329).

Its formation enthalpy at 0 K is -0.245 eV per atom.

***

Entry 13:
Ag2Pt: relaxed, PBE.

The space group is I4_1/amd (No. 141, origin choice 2) and the conventional cell measures 2.808, 2.808 and 26.735 Å, with angles of 90.00, 90.00 and 90.00 degrees. The distinct sites, in fractional coordinates, are Ag at (0.000, 0.250, 0.296) and Pt at (0.000, 0.250, 0.875).

Its formation enthalpy at 0 K is 0.082 eV per atom. For the energy relative to the lowest polymorph listed for this composition, the calculation gives 0.0963 eV per atom.

***

Entry 14:
NbVRe: relaxed, PBE.

The space group is Imm2 (No. 44) and the conventional cell measures 4.284, 4.296 and 6.067 Å, with angles of 90.00, 90.00 and 90.00 degrees. The distinct sites, in fractional coordinates, are Nb at (0.000, 0.000, 0.000), V at (0.000, 0.000, 0.500) and Re at (0.000, 0.500, 0.750).

Its formation enthalpy at 0 K is 0.463 eV per atom. For the energy relative to the lowest polymorph listed for this composition, the calculation gives 0.7094 eV per atom.

***

Entry 15:
Ac12NdSm6: relaxed, PBE.

The space group is R-3 (No. 148, hexagonal axes) and the conventional cell measures 15.8553, 15.8553 and 11.2067 Å, with angles of 90.00, 90.00 and 120.00 degrees. The distinct sites, in fractional coordinates, are Ac at (0.0503, 0.2470, 0.0755), Ac at (0.0648, 0.2272, 0.4179), Nd at (0.0000, 0.0000, 0.0000) and Sm at (0.0523, 0.2171, 0.7566).

Its formation enthalpy at 0 K is 0.248 eV per atom.

***

Entry 16:
NdPu3Ru3: relaxed, PBE.

The space group is Pm-3n (No. 223) and the conventional cell measures 7.209, 7.209 and 7.209 Å, with angles of 90.00, 90.00 and 90.00 degrees. The distinct sites, in fractional coordinates, are Nd at (0.000, 0.000, 0.000), Pu at (0.000, 0.250, 0.500) and Ru at (0.000, 0.500, 0.250).

Its formation enthalpy at 0 K is 0.468 eV per atom.

***

Entry 17:
Cs3Tb2Te6Pb: relaxed, PBE.

The space group is C2/m (No. 12) and the conventional cell measures 7.980, 13.838 and 9.368 Å, with angles of 90.00, 106.49 and 90.00 degrees. The distinct sites, in fractional coordinates, are Cs at (0.000, 0.000, 0.000), Cs at (0.000, 0.338, 0.000), Tb at (0.000, 0.167, 0.500), Te at (0.215, 0.000, 0.691), Te at (0.239, 0.326, 0.693) and Pb at (0.000, 0.500, 0.500).

The uncorrected formation energy is -1098 meV per atom.

***

Entry 18:
HgAs2Pb: relaxed, PBE.

The space group is C2/m (No. 12) and the conventional cell measures 6.531, 9.355 and 3.238 Å, with angles of 90.00, 103.13 and 90.00 degrees. The distinct sites, in fractional coordinates, are Hg at (0.000, 0.000, 0.000), As at (0.250, 0.250, 0.500) and Pb at (0.000, 0.500, 0.000).

Its formation enthalpy at 0 K is 0.317 eV per atom. For the energy relative to the lowest polymorph listed for this composition, the calculation gives 0.2662 eV per atom.

***

Entry 19:
Ac2PrH: relaxed, PBE.

The space group is R-3m (No. 166, hexagonal axes) and the conventional cell measures 3.8314, 3.8314 and 31.0428 Å, with angles of 90.00, 90.00 and 120.00 degrees. The distinct sites, in fractional coordinates, are Ac at (0.0000, 0.0000, 0.1169), Pr at (0.0000, 0.0000, 0.0000) and H at (0.0000, 0.0000, 0.5000).

For the energy relative to the lowest polymorph listed for this composition, the calculation gives 0.1713 eV per atom.

***

Entry 20:
ZrSb3Rh: relaxed, PBE.

The space group is Pm-3m (No. 221) and the conventional cell measures 5.111, 5.111 and 5.111 Å, with angles of 90.00, 90.00 and 90.00 degrees. The distinct sites, in fractional coordinates, are Zr at (0.000, 0.000, 0.000), Sb at (0.000, 0.500, 0.500) and Rh at (0.500, 0.500, 0.500).

For the energy relative to the lowest polymorph listed for this composition, the calculation gives 0.0000 eV per atom. The uncorrected formation energy is 376 meV per atom.